Run w
Ba2Ac (PBE, optimized geometry); total magnetization = 0.0 μB per formula unit; crystal system = tetragonal; ρ = 5.09 g/cm3
1.0
-2.0986 2.0986 9.2912
2.0986 -2.0986 9.2912
2.0986 2.0986 -9.2912
Ba Ac
2 1
Direct
0.1586 0.1586 0.0000 Ba
0.8414 0.8414 0.0000 Ba
0.5000 0.5000 0.0000 Ac


Run x
Ba2Ac (PBE, optimized geometry); total magnetization = 0.0 μB per formula unit; crystal system = trigonal; ρ = 5.12 g/cm3
1.0
6.7938 0.0000 0.0000
-3.3969 5.8836 0.0000
0.0000 0.0000 4.0709
Ba Ac
2 1
Direct
0.0000 0.0000 0.0000 Ba
0.3333 0.6667 0.7393 Ba
0.6667 0.3333 0.3712 Ac


Most stable: run w. Least stable: run x.


Run w
BaAc5 (PBE, optimized geometry); total magnetization = 0.0 μB per formula unit; crystal system = orthorhombic; ρ = 7.50 g/cm3
1.0
2.8538 -8.6051 0.0000
2.8538 8.6051 0.0000
0.0000 0.0000 5.7366
Ba Ac
1 5
Direct
0.0000 0.0000 0.0000 Ba
0.1716 0.8284 0.5000 Ac
0.3287 0.6713 0.0000 Ac
0.5000 0.5000 0.5000 Ac
0.6713 0.3287 0.0000 Ac
0.8284 0.1716 0.5000 Ac


Run x
BaAc5 (PBE, optimized geometry); total magnetization = 0.0 μB per formula unit; crystal system = tetragonal; ρ = 7.46 g/cm3
1.0
4.0245 0.0000 0.0000
0.0000 4.0245 0.0000
0.0000 0.0000 17.4889
Ba Ac
1 5
Direct
0.0000 0.0000 0.0000 Ba
0.0000 0.0000 0.3381 Ac
0.0000 0.0000 0.6619 Ac
0.5000 0.5000 0.1827 Ac
0.5000 0.5000 0.5000 Ac
0.5000 0.5000 0.8173 Ac


Most stable: run x. Least stable: run w.


Run w
Ba3Ac2 (PBE, optimized geometry); total magnetization = 0.0 μB per formula unit; crystal system = trigonal; ρ = 5.06 g/cm3
1.0
4.0065 2.3131 10.2166
-4.0065 2.3131 10.2166
0.0000 -4.6263 10.2166
Ba Ac
6 4
Direct
0.2491 0.7500 0.2509 Ba
0.2500 0.7491 0.7509 Ba
0.2509 0.2491 0.7500 Ba
0.7491 0.7509 0.2500 Ba
0.7500 0.2509 0.2491 Ba
0.7509 0.2500 0.7491 Ba
0.1915 0.1915 0.1915 Ac
0.3085 0.3085 0.3085 Ac
0.6915 0.6915 0.6915 Ac
0.8085 0.8085 0.8085 Ac


Run x
Ba3Ac2 (PBE, optimized geometry); total magnetization = 0.0 μB per formula unit; crystal system = trigonal; ρ = 5.36 g/cm3
1.0
2.1064 1.2161 17.4475
-2.1064 1.2161 17.4475
0.0000 -2.4323 17.4475
Ba Ac
3 2
Direct
0.0000 0.0000 0.0000 Ba
0.4046 0.4046 0.4046 Ba
0.5954 0.5954 0.5954 Ba
0.1962 0.1962 0.1962 Ac
0.8038 0.8038 0.8038 Ac


Most stable: run x. Least stable: run w.


Run w
BaAcBiI (PBE, optimized geometry); total magnetization = 0.8 μB per formula unit; crystal system = trigonal; ρ = 6.20 g/cm3
1.0
2.7883 1.6098 13.9306
-2.7883 1.6098 13.9306
0.0000 -3.2196 13.9306
Ba Ac Bi I
2 2 2 2
Direct
0.1041 0.1041 0.1041 Ba
0.8959 0.8959 0.8959 Ba
0.3038 0.3038 0.3038 Ac
0.6962 0.6962 0.6962 Ac
0.3895 0.3895 0.3895 Bi
0.6105 0.6105 0.6105 Bi
0.1975 0.1975 0.1975 I
0.8025 0.8025 0.8025 I


Run x
BaAcBiI (PBE, optimized geometry); total magnetization = 0.0 μB per formula unit; crystal system = cubic; ρ = 7.70 g/cm3
1.0
0.0000 4.2259 4.2259
4.2259 0.0000 4.2259
4.2259 4.2259 0.0000
Ba Ac Bi I
1 1 1 1
Direct
0.0000 0.0000 0.0000 Ba
0.5000 0.5000 0.5000 Ac
0.7500 0.7500 0.7500 Bi
0.2500 0.2500 0.2500 I


Most stable: run w. Least stable: run x.


Run w
Ba2CaAc (PBE, optimized geometry); total magnetization = 0.0 μB per formula unit; crystal system = trigonal; ρ = 4.33 g/cm3
1.0
2.0214 1.1671 14.6795
-2.0214 1.1671 14.6795
0.0000 -2.3341 14.6795
Ba Ca Ac
2 1 1
Direct
0.0886 0.0886 0.0886 Ba
0.9114 0.9114 0.9114 Ba
0.5000 0.5000 0.5000 Ca
0.0000 0.0000 0.0000 Ac


Run x
Ba2CaAc (PBE, optimized geometry); total magnetization = 0.0 μB per formula unit; crystal system = tetragonal; ρ = 4.37 g/cm3
1.0
6.6489 0.0000 0.0000
0.0000 6.6489 0.0000
0.0000 0.0000 4.6546
Ba Ca Ac
2 1 1
Direct
0.0000 0.5000 0.0000 Ba
0.5000 0.0000 0.0000 Ba
0.0000 0.0000 0.5000 Ca
0.5000 0.5000 0.5000 Ac


Run y
Ba2CaAc (PBE, optimized geometry); total magnetization = 0.0 μB per formula unit; crystal system = tetragonal; ρ = 4.36 g/cm3
1.0
4.1317 0.0000 0.0000
0.0000 4.1317 0.0000
0.0000 0.0000 12.0871
Ba Ca Ac
2 1 1
Direct
0.0000 0.0000 0.2489 Ba
0.0000 0.0000 0.7511 Ba
0.5000 0.5000 0.5000 Ca
0.5000 0.5000 0.0000 Ac


Most stable: run y. Least stable: run w.


Run w
Ba2CaAc (PBE, optimized geometry); total magnetization = 0.0 μB per formula unit; crystal system = triclinic; ρ = 4.05 g/cm3
1.0
7.0158 0.0000 0.0000
2.9531 6.7112 0.0000
1.4732 3.3556 9.4403
Ba Ca Ac
4 2 2
Direct
0.0637 0.2085 0.2209 Ba
0.4363 0.5706 0.2209 Ba
0.5637 0.4294 0.7791 Ba
0.9363 0.7915 0.7791 Ba
0.2496 0.0694 0.8610 Ca
0.7504 0.9306 0.1390 Ca
0.0000 0.5000 0.5000 Ac
0.5000 0.0000 0.5000 Ac


Run x
Ba2CaAc (PBE, optimized geometry); total magnetization = 0.0 μB per formula unit; crystal system = trigonal; ρ = 4.38 g/cm3
1.0
2.0728 1.1968 13.8100
-2.0728 1.1968 13.8100
0.0000 -2.3935 13.8100
Ba Ca Ac
2 1 1
Direct
0.0000 0.0000 0.0000 Ba
0.1676 0.1676 0.1676 Ba
0.4172 0.4172 0.4172 Ca
0.5837 0.5837 0.5837 Ac


Most stable: run x. Least stable: run w.


Run w
BaCa4Ac2 (PBE, optimized geometry); total magnetization = 0.0 μB per formula unit; crystal system = tetragonal; ρ = 3.53 g/cm3
1.0
-3.0480 3.0480 9.5265
3.0480 -3.0480 9.5265
3.0480 3.0480 -9.5265
Ba Ca Ac
1 4 2
Direct
0.0000 0.0000 0.0000 Ba
0.0000 0.5000 0.5000 Ca
0.1801 0.1801 0.0000 Ca
0.5000 0.0000 0.5000 Ca
0.8199 0.8199 0.0000 Ca
0.3874 0.3874 0.0000 Ac
0.6126 0.6126 0.0000 Ac


Run x
BaCa4Ac2 (PBE, optimized geometry); total magnetization = 0.0 μB per formula unit; crystal system = trigonal; ρ = 3.90 g/cm3
1.0
1.9997 1.1545 23.0891
-1.9997 1.1545 23.0891
0.0000 -2.3091 23.0891
Ba Ca Ac
1 4 2
Direct
0.0000 0.0000 0.0000 Ba
0.0964 0.0964 0.0964 Ca
0.3838 0.3838 0.3838 Ca
0.6162 0.6162 0.6162 Ca
0.9036 0.9036 0.9036 Ca
0.1894 0.1894 0.1894 Ac
0.8106 0.8106 0.8106 Ac


Most stable: run x. Least stable: run w.


Run w
Ba2Ca4Ac (PBE, optimized geometry); total magnetization = 0.0 μB per formula unit; crystal system = trigonal; ρ = 3.34 g/cm3
1.0
1.9895 1.1487 24.0320
-1.9895 1.1487 24.0320
0.0000 -2.2973 24.0320
Ba Ca Ac
2 4 1
Direct
0.2366 0.2366 0.2366 Ba
0.7634 0.7634 0.7634 Ba
0.1446 0.1446 0.1446 Ca
0.2886 0.2886 0.2886 Ca
0.7114 0.7114 0.7114 Ca
0.8554 0.8554 0.8554 Ca
0.0000 0.0000 0.0000 Ac


Run x
Ba2Ca4Ac (PBE, optimized geometry); total magnetization = 0.0 μB per formula unit; crystal system = tetragonal; ρ = 2.69 g/cm3
1.0
-3.1962 3.1962 10.0053
3.1962 -3.1962 10.0053
3.1962 3.1962 -10.0053
Ba Ca Ac
2 4 1
Direct
0.1188 0.1188 0.0000 Ba
0.8812 0.8812 0.0000 Ba
0.0000 0.5000 0.5000 Ca
0.3303 0.3303 0.0000 Ca
0.5000 0.0000 0.5000 Ca
0.6697 0.6697 0.0000 Ca
0.5000 0.5000 0.0000 Ac


Most stable: run w. Least stable: run x.